Record 1
## KYPCl2 (PBE)

Data for crystalline KYPCl2 at its relaxed geometry.

Cell lengths 5.377, 5.377, 5.462 Å; angles 90.00, 90.00, 90.00 degrees
Space group P4/mmm (No. 123)
Unique sites:
K 0.000 0.000 0.000 x1
Y 0.500 0.500 0.500 x1
P 0.500 0.500 0.000 x1
Cl 0.000 0.500 0.500 x2

Crystal system: tetragonal
Offset from the most stable computed form, meV per atom: 0

Record 2
## Ag5PdAu (PBE)

Data for crystalline Ag5PdAu at its relaxed geometry.

Cell lengths 9.235, 10.834, 5.561 Å; angles 90.00, 108.21, 90.00 degrees
Space group C2/c (No. 15)
Unique sites:
Ag 0.000 0.249 0.250 x4
Ag 0.212 0.352 0.848 x8
Ag 0.242 0.113 0.622 x8
Pd 0.000 0.500 0.000 x4
Au 0.000 0.012 0.750 x4

Formation enthalpy at 0 K, eV per formula unit: 0.64
Crystal system: monoclinic
Offset from the most stable computed form, meV per atom: 12

Record 3
## LiZr3Ag3Se8 (PBE)

Data for crystalline LiZr3Ag3Se8 at its relaxed geometry.

Cell lengths 13.522, 7.806, 8.037 Å; angles 90.00, 124.19, 90.00 degrees
Space group C2/m (No. 12)
Unique sites:
Li 0.000 0.000 0.000 x2
Zr 0.000 0.500 0.000 x2
Zr 0.250 0.250 0.000 x4
Ag 0.000 0.000 0.500 x2
Ag 0.250 0.250 0.500 x4
Se 0.008 0.255 0.770 x8
Se 0.245 0.500 0.235 x4
Se 0.247 0.000 0.230 x4

Crystal system: monoclinic

Record 4
## LaSi4Ir6 (PBE)

Data for crystalline LaSi4Ir6 at its relaxed geometry.

Cell lengths 7.0716, 7.0716, 3.8835 Å; angles 90.00, 90.00, 120.00 degrees
Space group P-6m2 (No. 187)
Unique sites:
La 0.0000 0.0000 0.0000 x1
Si 0.3333 0.6667 0.0000 x1
Si 0.3989 0.1994 0.5000 x3
Ir 0.1998 0.3995 0.5000 x3
Ir 0.5328 0.0657 0.0000 x3

Crystal system: hexagonal

Record 5
## Tl4SnSb (PBE)

Data for crystalline Tl4SnSb at its relaxed geometry.

Cell lengths 7.741, 7.741, 13.027 Å; angles 90.00, 90.00, 90.00 degrees
Space group I4/mcm (No. 140)
Unique sites:
Tl 0.150 0.350 0.132 x16
Sn 0.000 0.000 0.000 x4
Sb 0.000 0.000 0.250 x4

Crystal system: tetragonal
Offset from the most stable computed form, meV per atom: 27

Record 6
## ThAl2SiRu2 (PBE)

Data for crystalline ThAl2SiRu2 at its relaxed geometry.

Cell lengths 4.428, 4.428, 5.749 Å; angles 90.00, 90.00, 90.00 degrees
Space group P4/mmm (No. 123)
Unique sites:
Th 0.000 0.000 0.000 x1
Al 0.500 0.500 0.237 x2
Si 0.000 0.000 0.500 x1
Ru 0.000 0.500 0.500 x2

Crystal system: tetragonal

Result set for total DFT energy (no corrections): -4.6780; -3.1557; -5.0841; -8.0937; -2.8744; -6.9125 eV/atom, one per record in the order listed.